1.
Here is a geometry-optimized BeZnBr2 structure from Alexandria via LeMat-Bulk. Energies are from GGA-PBEsol.

Density (g/cm³): 4.3
E_form (uncorrected) (meV per atom): -311
DFT total energy (eV/cell): -10.57
V (Å³ per atom): 22.713
Magnetization (μB per atom): 0.000
Energy above the most stable polymorph in this dataset (meV per atom): 0

abc: 3.3998 3.3998 9.2782
angles: 79.71 79.71 59.97
Last column: nearest neighbours and their distance in Å.
Element x y z (fractional)
Br1 0.2843 0.2843 0.6513  3 Be 2.40
Br2 0.7157 0.7157 0.3487  3 Be 2.40
Zn1 0.5000 0.5000 0.0000  6 Zn 3.40, 6 Br 3.71-3.73
Be1 0.0000 0.0000 0.5000  6 Br 2.40

2.
Here is a geometry-optimized MnAlSe2 structure from Alexandria via LeMat-Bulk. Energies are from GGA-PBEsol.

Density (g/cm³): 5.6
E_form (uncorrected) (meV per atom): 393
DFT total energy (eV/cell): -19.98
V (Å³ per atom): 17.933
Magnetization (μB per atom): 1.014

abc: 4.6638 4.6638 4.6638
angles: 60.00 60.00 60.00
Last column: nearest neighbours and their distance in Å.
Element x y z (fractional)
Mn1 0.2500 0.2500 0.2500  4 Se 2.86, 4 Al 2.86
Al1 0.5000 0.5000 0.5000  4 Se 2.86, 4 Mn 2.86
Se1 0.7500 0.7500 0.7500  4 Al 2.86, 4 Se 2.86
Se2 0.0000 0.0000 0.0000  4 Mn 2.86, 4 Se 2.86

3.
Here is a geometry-optimized BeInGeOs2 structure from Alexandria via LeMat-Bulk. Energies are from GGA-PBEsol.

Density (g/cm³): 9.8
DFT total energy (eV/cell): -27.21
Formation energy (eV per formula unit): 9.1
V (Å³ per atom): 19.570
Magnetization (μB per atom): 0.000

abc: 4.5230 4.5230 4.7830
angles: 90.00 90.00 90.00
Last column: nearest neighbours and their distance in Å.
Element x y z (fractional)
Os1 0.0000 0.5000 0.0000  2 Ge 2.26
Os2 0.5000 0.0000 0.0000  2 Ge 2.26
Be1 0.5000 0.5000 0.5000  4 In 3.20, 8 Os 3.29
Ge1 0.0000 0.0000 0.0000  4 Os 2.26, 2 In 2.39
In1 0.0000 0.0000 0.5000  2 Ge 2.39

4.
Here is a geometry-optimized RbNiMo3 structure from Alexandria via LeMat-Bulk. Energies are from GGA-PBEsol.

Density (g/cm³): 7.7
DFT total energy (eV/cell): -25.51
Formation energy (eV per formula unit): 17.0
V (Å³ per atom): 18.611
Magnetization (μB per atom): 0.000

abc: 4.5315 4.5315 4.5315
angles: 90.00 90.00 90.00
Last column: nearest neighbours and their distance in Å.
Element x y z (fractional)
Rb1 0.0000 0.0000 0.0000  6 Mo 2.27
Ni1 0.5000 0.5000 0.5000  12 Mo 3.20
Mo1 0.5000 0.0000 0.0000  2 Rb 2.27
Mo2 0.0000 0.0000 0.5000  2 Rb 2.27
Mo3 0.0000 0.5000 0.0000  2 Rb 2.27

5.
Here is a geometry-optimized Zr3TlPt structure from Alexandria via LeMat-Bulk. Energies are from GGA-PBEsol.

Density (g/cm³): 8.7
DFT total energy (eV/cell): -36.43
Formation energy (eV per formula unit): 0.4
V (Å³ per atom): 25.631
Magnetization (μB per atom): 0.000

abc: 5.0417 5.0417 5.0417
angles: 90.00 90.00 90.00
Last column: nearest neighbours and their distance in Å.
Element x y z (fractional)
Zr1 0.0000 0.5000 0.0000  2 Pt 2.52
Zr2 0.5000 0.0000 0.0000  2 Pt 2.52
Zr3 0.0000 0.0000 0.5000  2 Pt 2.52
Pt1 0.0000 0.0000 0.0000  6 Zr 2.52
Tl1 0.5000 0.5000 0.5000  12 Zr 3.57

6.
Here is a geometry-optimized CsRb3Se structure from Alexandria via LeMat-Bulk. Energies are from GGA-PBEsol.

Density (g/cm³): 2.5
E_form (uncorrected) (meV per atom): -517
DFT total energy (eV/cell): -10.45
V (Å³ per atom): 63.134
Magnetization (μB per atom): 0.000

abc: 6.8089 6.8089 6.8089
angles: 90.00 90.00 90.00
Last column: nearest neighbours and their distance in Å.
Element x y z (fractional)
Rb1 0.0000 0.5000 0.0000  2 Se 3.40
Rb2 0.5000 0.0000 0.0000  2 Se 3.40
Rb3 0.0000 0.0000 0.5000  2 Se 3.40
Cs1 0.5000 0.5000 0.5000  12 Rb 4.81
Se1 0.0000 0.0000 0.0000  6 Rb 3.40